Here is an optimized crystal structure of MnCdMo3 from the Alexandria database. Energies are from GGA-PBEsol.

Spin magnetization (μB per formula unit): 0.00
Density (g/cm³): 8.67
Energy relative to the elements (eV/atom): 1.08
DFT total energy (eV per cell): -40.85

a = 4.4339 Å, b = 4.4339 Å, c = 4.4339 Å
α = 90.00°, β = 90.00°, γ = 90.00°
Fractional positions:
Mo 0.0000 0.0000 0.5000
Mo 0.5000 0.0000 0.0000
Mo 0.0000 0.5000 0.0000
Cd 0.5000 0.5000 0.5000
Mn 0.0000 0.0000 0.0000